Entry 1:
DFT (PBE) results for SmHoPt10 after structural relaxation.

Lattice parameters (Å, degrees): 4.4572 5.3839 9.2707 90.00 90.00 90.00
With the nearest neighbours (Å) after each atom.
Space group Pmmm (No. 47)
Asymmetric unit:
Sm 0.0000 0.0000 0.0000 x1  6 Pt 3.11-3.12
Ho 0.0000 0.5000 0.5000 x1  6 Pt 3.06-3.09
Pt 0.0000 0.0000 0.3355 x2  6 Pt 2.70-2.72
Pt 0.0000 0.5000 0.1696 x2  6 Pt 2.71-2.73
Pt 0.5000 0.0000 0.5000 x1  8 Pt 2.67-2.70
Pt 0.5000 0.2506 0.2513 x4  8 Pt 2.67-2.72
Pt 0.5000 0.5000 0.0000 x1  8 Pt 2.69-2.73

Formation enthalpy at 0 K   -8.3 eV/f.u.
Uncorrected energy   -78.0 eV/cell
D(E_F)   0.806 states/eV/atom

---

Entry 2:
DFT (PBE) results for Sm3HoPt8 after structural relaxation.

Lattice parameters (Å, degrees): 5.4705 5.4705 26.8189 90.00 90.00 120.00
With the nearest neighbours (Å) after each atom.
Space group R3m (No. 160, hexagonal axes)
Asymmetric unit:
Sm 0.0000 0.0000 0.0000 x3  12 Pt 3.18-3.21, 3 Ho 3.34, 1 Sm 3.37
Sm 0.0000 0.0000 0.1256 x3  12 Pt 3.21-3.22, 4 Sm 3.36-3.37
Sm 0.0000 0.0000 0.5013 x3  12 Pt 3.21-3.24, 1 Ho 3.34, 3 Sm 3.36
Ho 0.0000 0.0000 0.6260 x3  12 Pt 3.19-3.21, 4 Sm 3.34
Pt 0.0000 0.0000 0.3130 x3  6 Pt 2.72-2.73
Pt 0.0000 0.0000 0.8131 x3  6 Pt 2.74-2.75
Pt 0.0003 0.5001 0.5637 x9  6 Pt 2.72-2.75
Pt 0.1672 0.3343 0.3960 x9  6 Pt 2.73-2.74

Formation enthalpy at 0 K   -13.2 eV/f.u.
Uncorrected energy   -240.7 eV/cell
D(E_F)   0.259 states/eV/atom